Entry from Alexandria: crystalline YMo2O7F at its relaxed geometry (PBE+U).

The structure in CIF format:
```
data_YMo2O7F
_cell_length_a 4.350
_cell_length_b 6.653
_cell_length_c 11.568
_cell_angle_alpha 90.00
_cell_angle_beta 90.38
_cell_angle_gamma 90.00
_symmetry_space_group_name_H-M 'P 1 2/c 1'
_symmetry_Int_Tables_number 13
loop_
_symmetry_equiv_pos_as_xyz
'x,y,z'
'-x,-y,-z'
'-x,y,-z+1/2'
'x,-y,z+1/2'
loop_
_atom_site_label
_atom_site_type_symbol
_atom_site_fract_x
_atom_site_fract_y
_atom_site_fract_z
Y1 Y 0.000 0.200 0.250
Mo1 Mo 0.097 0.332 0.594
O1 O 0.000 0.441 0.750
O2 O 0.002 0.350 0.434
O3 O 0.015 0.079 0.628
O4 O 0.495 0.342 0.597
F1 F 0.500 0.199 0.250
```

- DOS at the Fermi energy: 0.000 states/eV/cell
- Calculated density: 4.1 g cm⁻³
- Calculated volume: 334.8 Å³ per cell
- DFT total energy: -163.57 eV/cell
- Size of the total moment: 0.000 μB/atom